[1]
# ThMgSi3

ThMgSi3 after structural relaxation (PBE-GGA, Alexandria).

Results
The value obtained for the mass density is 5.7 g/cm³. As for the raw total energy: -54.23 eV/cell. For the volume, the calculation gives 19.974 A^3/atom. The calculation puts the magnetic moment at 0.0 μB per formula unit. The energy relative to the elements, uncorrected is -0.366 eV per atom. As for the space-group type: Cmcm, No. 63.

a b c (Å): 4.0688 4.1514 12.0056
angles (deg): 99.96 90.00 90.00
Sites, in units of the cell vectors:
Si1 0.2500 0.4745 0.9491
Th1 0.2500 0.0754 0.1509
Th2 0.7500 0.9246 0.8491
Si2 0.2500 0.3745 0.7490
Si3 0.7500 0.6255 0.2510
Mg1 0.2500 0.7947 0.5894
Mg2 0.7500 0.2053 0.4106
Si4 0.7500 0.5255 0.0509
Si5 0.2500 0.6811 0.3621
Si6 0.7500 0.3189 0.6379

[2]
# Th2MgSi

Th2MgSi after structural relaxation (PBE-GGA, Alexandria).

Results
The value obtained for the mass density is 6.4 g/cm³. As for the raw total energy: -21.36 eV/cell. For the volume, the calculation gives 33.652 A^3/atom. The calculation puts the magnetic moment at 0.0 μB per formula unit. The energy relative to the elements, uncorrected is 0.125 eV per atom. As for the space-group type: R-3m, No. 166.

a b c (Å): 3.8381 3.8381 10.7815
angles (deg): 79.75 79.75 60.00
Sites, in units of the cell vectors:
Mg1 0.0000 0.0000 0.0000
Th1 0.1102 0.1102 0.6695
Th2 0.8898 0.8898 0.3305
Si1 0.5000 0.5000 0.5000

[3]
# ThMg4Si2

ThMg4Si2 after structural relaxation (PBE-GGA, Alexandria).

Results
The value obtained for the mass density is 4.3 g/cm³. As for the raw total energy: -26.61 eV/cell. For the volume, the calculation gives 21.125 A^3/atom. The calculation puts the magnetic moment at 0.0 μB per formula unit. The energy relative to the elements, uncorrected is -0.281 eV per atom. As for the space-group type: Cmmm, No. 65.

a b c (Å): 4.2421 4.2436 8.4839
angles (deg): 104.48 90.00 90.00
Sites, in units of the cell vectors:
Th1 0.0000 0.0000 0.0000
Mg1 0.0000 0.3226 0.6453
Mg2 0.5000 0.8238 0.6477
Si1 0.5000 0.4282 0.8563
Mg3 0.0000 0.6774 0.3547
Si2 0.5000 0.5718 0.1437
Mg4 0.5000 0.1762 0.3523